The following is a GGA-PBE calculation of a relaxed Si2SbRu crystal, from Alexandria via LeMat-Bulk.

The space group is P4/mmm (No. 123) and the conventional cell measures 3.0132, 3.0132 and 7.4060 Å, with angles of 90.00, 90.00 and 90.00 degrees. The inequivalent atoms are Si at (0.0000, 0.0000, 0.1927), Sb at (0.5000, 0.5000, 0.5000) and Ru at (0.5000, 0.5000, 0.0000).

The calculation puts the total DFT energy (no corrections) at -24.19 eV/f.u. For the volume, the calculation gives 16.81 Å³/atom.